w:
# PBE-GGA B2C, optimized geometry
data_B2C
_space_group_name_H-M_alt 'C 1 m 1'
_space_group_IT_number 8
_cell_length_a 12.488
_cell_length_b 2.711
_cell_length_c 5.073
_cell_angle_alpha 90.00
_cell_angle_beta 101.31
_cell_angle_gamma 90.00
loop_
_space_group_symop_operation_xyz
'x,y,z'
'x,-y,z'
'x+1/2,y+1/2,z'
'x+1/2,-y+1/2,z'
loop_
_atom_site_label
_atom_site_type_symbol
_atom_site_fract_x
_atom_site_fract_y
_atom_site_fract_z
B1 B 0.000 0.000 0.000
B2 B 0.016 0.500 0.816
B3 B 0.091 0.500 0.184
B4 B 0.148 0.500 0.647
B5 B 0.210 0.000 0.207
B6 B 0.337 0.500 0.438
B7 B 0.358 0.500 0.074
B8 B 0.472 0.500 0.342
C1 C 0.028 0.500 0.482
C2 C 0.217 0.000 0.714
C3 C 0.285 0.000 0.992
C4 C 0.287 0.000 0.501
# Total magnetization: 0.0000 μB per atom
# N(E_F): 0.09 states/eV per atom



x:
# PBE-GGA B2C, optimized geometry
data_B2C
_space_group_name_H-M_alt 'P 1 m 1'
_space_group_IT_number 6
_cell_length_a 4.988
_cell_length_b 2.587
_cell_length_c 6.713
_cell_angle_alpha 90.00
_cell_angle_beta 94.71
_cell_angle_gamma 90.00
loop_
_space_group_symop_operation_xyz
'x,y,z'
'x,-y,z'
loop_
_atom_site_label
_atom_site_type_symbol
_atom_site_fract_x
_atom_site_fract_y
_atom_site_fract_z
B1 B 0.000 0.000 0.000
B2 B 0.053 0.500 0.418
B3 B 0.289 0.000 0.327
B4 B 0.375 0.500 0.725
B5 B 0.466 0.500 0.105
B6 B 0.615 0.000 0.690
B7 B 0.687 0.500 0.371
B8 B 0.833 0.500 0.153
C1 C 0.061 0.500 0.673
C2 C 0.306 0.000 0.083
C3 C 0.569 0.000 0.456
C4 C 0.931 0.000 0.760
# Total magnetization: 0.0000 μB per atom
# N(E_F): 0.16 states/eV per atom



Stability, highest: w